First-principles (PBE-GGA) data for an optimized crystal structure of Pr8Zn2Sn, as listed in Alexandria via LeMat-Bulk.

Values from the calculation:
DFT formation energy, meV/atom: -222
Space-group type: C2/m (12)
Raw total energy, hartree per atom: -0.1578

Cell: 5.0830 8.2539 9.2054 Å, 113.58 106.03 90.00°
Last column: nearest neighbours and their distance in Å.
Sites, in units of the cell vectors:
Pr: 0.4028 0.5362 0.8056  2 Zn 3.14, 1 Sn 3.48, 2 Pr 3.49
Pr: 0.6788 0.9597 0.3576  1 Zn 3.00, 1 Sn 3.32
Pr: 0.8298 0.7446 0.6596  3 Zn 3.13-3.30
Pr: 0.9558 0.2482 0.9116  1 Zn 3.16, 4 Pr 3.42-3.49
Pr: 0.1702 0.2554 0.3404  3 Zn 3.13-3.30
Pr: 0.3212 0.0403 0.6424  1 Zn 3.00, 1 Sn 3.32
Pr: 0.5972 0.4638 0.1944  2 Zn 3.14, 1 Sn 3.48, 2 Pr 3.49
Pr: 0.0442 0.7518 0.0884  1 Zn 3.16, 4 Pr 3.42-3.49
Zn: 0.8003 0.3432 0.6006  7 Pr 3.00-3.30
Zn: 0.1997 0.6568 0.3994  7 Pr 3.00-3.30
Sn: 0.5000 0.0000 0.0000  8 Pr 3.32-3.55

---

First-principles (PBE-GGA) data for an optimized crystal structure of PrZnSn, as listed in Alexandria via LeMat-Bulk.

Values from the calculation:
DFT formation energy, meV/atom: -592
Space-group type: P3m1 (156)
Raw total energy, hartree per atom: -0.1450

Cell: 4.3620 4.5142 4.5142 Å, 120.00 90.00 90.00°
Last column: nearest neighbours and their distance in Å.
Sites, in units of the cell vectors:
Pr: 0.6748 0.6667 0.3333  6 Zn 3.31-3.49, 6 Sn 3.37-3.42
Zn: 0.1411 0.0000 0.0000  3 Sn 2.61
Sn: 0.1841 0.3333 0.6667  3 Zn 2.61

---

First-principles (PBE-GGA) data for an optimized crystal structure of Pr4ZnSn, as listed in Alexandria via LeMat-Bulk.

Values from the calculation:
DFT formation energy, meV/atom: -335
Space-group type: C2/c (15)
Raw total energy, hartree per atom: -0.1617

Cell: 6.0545 8.8652 8.4638 Å, 114.30 101.15 108.28°
Last column: nearest neighbours and their distance in Å.
Sites, in units of the cell vectors:
Pr: 0.0768 0.2219 0.8297  2 Zn 3.18-3.29, 1 Pr 3.25, 3 Sn 3.33-3.47
Pr: 0.7685 0.7048 0.6295  2 Zn 3.19, 2 Sn 3.34-3.42, 2 Pr 3.44-3.51
Pr: 0.2529 0.6078 0.8297  2 Zn 3.18-3.29, 1 Pr 3.25, 3 Sn 3.33-3.47
Pr: 0.3610 0.9248 0.6295  2 Zn 3.19, 2 Sn 3.34-3.42, 2 Pr 3.44-3.51
Pr: 0.6390 0.0752 0.3705  2 Zn 3.19, 2 Sn 3.34-3.42, 2 Pr 3.44-3.51
Pr: 0.7471 0.3922 0.1703  2 Zn 3.18-3.29, 1 Pr 3.25, 3 Sn 3.33-3.47
Pr: 0.2315 0.2952 0.3705  2 Zn 3.19, 2 Sn 3.34-3.42, 2 Pr 3.44-3.51
Pr: 0.9232 0.7781 0.1703  2 Zn 3.18-3.29, 1 Pr 3.25, 3 Sn 3.33-3.47
Zn: 0.2512 0.0012 0.0024  2 Zn 3.03, 8 Pr 3.18-3.29
Zn: 0.7488 0.9988 0.9976  2 Zn 3.03, 8 Pr 3.18-3.29
Sn: 0.3680 0.6180 0.2361  10 Pr 3.33-3.47
Sn: 0.6320 0.3820 0.7639  10 Pr 3.33-3.47

---

First-principles (PBE-GGA) data for an optimized crystal structure of Pr2Zn2Sn, as listed in Alexandria via LeMat-Bulk.

Values from the calculation:
DFT formation energy, meV/atom: -460
Space-group type: C2/m (12)
Raw total energy, hartree per atom: -0.1353

Cell: 4.6206 6.0894 10.1347 Å, 88.36 76.82 67.70°
Last column: nearest neighbours and their distance in Å.
Sites, in units of the cell vectors:
Pr: 0.6813 0.3074 0.3300  6 Zn 3.20-3.38, 4 Sn 3.27-3.55
Pr: 0.9104 0.2721 0.9071  6 Zn 3.15-3.50, 2 Sn 3.41
Pr: 0.3187 0.6926 0.6700  6 Zn 3.20-3.38, 4 Sn 3.27-3.55
Pr: 0.0896 0.7279 0.0929  6 Zn 3.15-3.50, 2 Sn 3.41
Zn: 0.0780 0.2904 0.5537  1 Zn 2.65, 2 Sn 2.77
Zn: 0.6352 0.8397 0.8898  1 Zn 2.74, 1 Sn 2.78
Zn: 0.9220 0.7096 0.4463  1 Zn 2.65, 2 Sn 2.77
Zn: 0.3648 0.1603 0.1102  1 Zn 2.74, 1 Sn 2.78
Sn: 0.6119 0.1118 0.6645  4 Zn 2.77-3.02
Sn: 0.3881 0.8882 0.3355  4 Zn 2.77-3.02

---

First-principles (PBE-GGA) data for an optimized crystal structure of Pr2ZnSn2, as listed in Alexandria via LeMat-Bulk.

Values from the calculation:
DFT formation energy, meV/atom: -576
Space-group type: Cmc2_1 (36)
Raw total energy, hartree per atom: -0.1596

Cell: 4.6562 7.4708 8.8157 Å, 90.00 105.31 90.00°
Last column: nearest neighbours and their distance in Å.
Sites, in units of the cell vectors:
Pr: 0.9802 0.7275 0.9605  5 Sn 3.16-3.26, 2 Zn 3.23
Pr: 0.7902 0.4124 0.5804  5 Sn 3.17-3.30
Pr: 0.2098 0.9124 0.4196  5 Sn 3.17-3.30
Pr: 0.0198 0.2275 0.0395  5 Sn 3.16-3.26, 2 Zn 3.23
Zn: 0.4097 0.0631 0.8193  4 Sn 2.74-2.92
Zn: 0.5903 0.5631 0.1807  4 Sn 2.74-2.92
Sn: 0.4266 0.4477 0.8531  2 Zn 2.89-2.92
Sn: 0.8323 0.9835 0.6646  2 Zn 2.74
Sn: 0.1677 0.4835 0.3354  2 Zn 2.74
Sn: 0.5734 0.9477 0.1469  2 Zn 2.89-2.92

---

First-principles (PBE-GGA) data for an optimized crystal structure of Pr5ZnSn2, as listed in Alexandria via LeMat-Bulk.

Values from the calculation:
DFT formation energy, meV/atom: -345
Space-group type: Cmcm (63)
Raw total energy, hartree per atom: -0.1651

Cell: 5.8752 5.7032 17.4793 Å, 90.00 90.00 121.00°
Last column: nearest neighbours and their distance in Å.
Sites, in units of the cell vectors:
Pr: 0.9100 0.8200 0.8948  3 Pr 3.23-3.39, 4 Sn 3.31-3.43, 1 Zn 3.46
Pr: 0.9100 0.8200 0.6052  3 Pr 3.23-3.39, 4 Sn 3.31-3.43, 1 Zn 3.46
Pr: 0.4191 0.8382 0.4103  1 Zn 2.93, 1 Pr 3.23, 1 Sn 3.27
Pr: 0.4191 0.8382 0.0897  1 Zn 2.93, 1 Pr 3.23, 1 Sn 3.27
Pr: 0.7298 0.4596 0.2500  2 Zn 3.10, 2 Sn 3.18
Pr: 0.2702 0.5404 0.7500  2 Zn 3.10, 2 Sn 3.18
Pr: 0.5809 0.1618 0.5897  1 Zn 2.93, 1 Pr 3.23, 1 Sn 3.27
Pr: 0.5809 0.1618 0.9103  1 Zn 2.93, 1 Pr 3.23, 1 Sn 3.27
Pr: 0.0900 0.1800 0.1052  3 Pr 3.23-3.39, 4 Sn 3.31-3.43, 1 Zn 3.46
Pr: 0.0900 0.1800 0.3948  3 Pr 3.23-3.39, 4 Sn 3.31-3.43, 1 Zn 3.46
Zn: 0.6691 0.3382 0.7500  4 Pr 2.93-3.10
Zn: 0.3309 0.6618 0.2500  4 Pr 2.93-3.10
Sn: 0.7582 0.5165 0.4312  9 Pr 3.18-3.43
Sn: 0.7582 0.5165 0.0688  9 Pr 3.18-3.43
Sn: 0.2418 0.4835 0.5688  9 Pr 3.18-3.43
Sn: 0.2418 0.4835 0.9312  9 Pr 3.18-3.43

---

First-principles (PBE-GGA) data for an optimized crystal structure of Pr5Zn2Sn, as listed in Alexandria via LeMat-Bulk.

Values from the calculation:
DFT formation energy, meV/atom: -345
Space-group type: I4/mcm (140)
Raw total energy, hartree per atom: -0.1525

Cell: 7.8917 7.8917 9.4799 Å, 114.60 114.60 90.00°
Last column: nearest neighbours and their distance in Å.
Sites, in units of the cell vectors:
Pr: 0.5126 0.6883 0.7009  3 Zn 3.22-3.33, 2 Sn 3.33
Pr: 0.8117 0.9874 0.2991  3 Zn 3.22-3.33, 2 Sn 3.33
Pr: 0.0000 0.0000 0.0000  4 Zn 3.14
Pr: 0.5000 0.5000 0.0000  4 Zn 3.14
Pr: 0.1883 0.0126 0.7009  3 Zn 3.22-3.33, 2 Sn 3.33
Pr: 0.6883 0.1883 0.7009  3 Zn 3.22-3.33, 2 Sn 3.33
Pr: 0.0126 0.5126 0.7009  3 Zn 3.22-3.33, 2 Sn 3.33
Pr: 0.3117 0.8117 0.2991  3 Zn 3.22-3.33, 2 Sn 3.33
Pr: 0.9874 0.4874 0.2991  3 Zn 3.22-3.33, 2 Sn 3.33
Pr: 0.4874 0.3117 0.2991  3 Zn 3.22-3.33, 2 Sn 3.33
Zn: 0.1219 0.3781 0.0000  1 Zn 2.72
Zn: 0.6219 0.1219 0.0000  1 Zn 2.72
Zn: 0.3781 0.8781 0.0000  1 Zn 2.72
Zn: 0.8781 0.6219 0.0000  1 Zn 2.72
Sn: 0.7500 0.7500 0.5000  8 Pr 3.33
Sn: 0.2500 0.2500 0.5000  8 Pr 3.33

---

First-principles (PBE-GGA) data for an optimized crystal structure of PrZn2Sn, as listed in Alexandria via LeMat-Bulk.

Values from the calculation:
DFT formation energy, meV/atom: -246
Space-group type: Amm2 (38)
Raw total energy, hartree per atom: -0.1131

Cell: 4.4610 5.8476 4.6953 Å, 128.51 90.00 90.00°
Last column: nearest neighbours and their distance in Å.
Sites, in units of the cell vectors:
Pr: 0.5000 0.7958 0.5915  4 Zn 2.95-3.09, 2 Sn 3.25
Zn: 0.0000 0.0862 0.1723  2 Zn 2.52
Zn: 0.5000 0.2467 0.4935  2 Zn 2.52, 2 Sn 2.79
Sn: 0.0000 0.4744 0.9487  5 Zn 2.79-3.04

---

First-principles (PBE-GGA) data for an optimized crystal structure of PrZnSn, as listed in Alexandria via LeMat-Bulk.

Values from the calculation:
DFT formation energy, meV/atom: -596
Space-group type: P6_3/mmc (194)
Raw total energy, hartree per atom: -0.1451

Cell: 4.5285 4.5285 8.6245 Å, 90.00 90.00 120.00°
Last column: nearest neighbours and their distance in Å.
Sites, in units of the cell vectors:
Pr: 0.0000 0.0000 0.0000  6 Sn 3.39, 6 Zn 3.39
Pr: 0.0000 0.0000 0.5000  6 Sn 3.39, 6 Zn 3.39
Zn: 0.6667 0.3333 0.7500  3 Sn 2.61
Zn: 0.3333 0.6667 0.2500  3 Sn 2.61
Sn: 0.6667 0.3333 0.2500  3 Zn 2.61
Sn: 0.3333 0.6667 0.7500  3 Zn 2.61

---

First-principles (PBE-GGA) data for an optimized crystal structure of Pr2ZnSn, as listed in Alexandria via LeMat-Bulk.

Values from the calculation:
DFT formation energy, meV/atom: -2
Space-group type: R-3m (166)
Raw total energy, hartree per atom: -0.1364

Cell: 3.5803 3.5803 11.3678 Å, 80.94 80.94 60.00°
Last column: nearest neighbours and their distance in Å.
Sites, in units of the cell vectors:
Pr: 0.0970 0.0970 0.7089  3 Zn 3.12, 1 Sn 3.25
Pr: 0.9030 0.9030 0.2911  3 Zn 3.12, 1 Sn 3.25
Zn: 0.5000 0.5000 0.5000  6 Pr 3.12
Sn: 0.0000 0.0000 0.0000  2 Pr 3.25, 6 Sn 3.58

---

First-principles (PBE-GGA) data for an optimized crystal structure of PrZn2Sn, as listed in Alexandria via LeMat-Bulk.

Values from the calculation:
DFT formation energy, meV/atom: -182
Space-group type: Amm2 (38)
Raw total energy, hartree per atom: -0.1108

Cell: 3.5031 5.3207 5.3207 Å, 102.35 90.00 90.00°
Last column: nearest neighbours and their distance in Å.
Sites, in units of the cell vectors:
Pr: 0.0000 0.9974 0.0026  8 Zn 3.21-3.28, 2 Pr 3.50
Zn: 0.5000 0.8766 0.4845  1 Zn 2.41, 1 Sn 2.67
Zn: 0.5000 0.5155 0.1234  1 Zn 2.41, 1 Sn 2.67
Sn: 0.5000 0.3904 0.6096  4 Zn 2.67-2.81